# PBE-GGA BaCoRu2, optimized geometry
# Fermi-level density of states: 1.49 states/eV per atom
# raw total energy: -6.21 eV per atom
# calculated formation energy: 686 meV per atom
# polymorph energy (0 for the lowest one): 8.30 kcal/mol of atoms
data_BaCoRu2
_space_group_name_H-M_alt 'P 1 m 1'
_space_group_IT_number 6
_cell_length_a 3.996
_cell_length_b 3.945
_cell_length_c 5.902
_cell_angle_alpha 90.00
_cell_angle_beta 95.38
_cell_angle_gamma 90.00
loop_
_space_group_symop_operation_xyz
'x,y,z'
'x,-y,z'
loop_
_atom_site_label
_atom_site_fract_x
_atom_site_fract_y
_atom_site_fract_z
_atom_site_occupancy
Ba1 0.000 0.000 0.000 1
Co1 0.429 0.500 0.686 1
Ru1 0.530 0.000 0.480 1
Ru2 0.917 0.500 0.488 1